# 1
A geometry-optimized PmHoZn structure. Source: Alexandria via LeMat-Bulk, functional GGA-PBE.

E: -42.07 eV for the cell shown
Magnetic moment: 0.00 μB/f.u.
Relative energy among the computed polymorphs: 68 kJ/mol of formula units
Energy of formation from the pure elements: 0.03 eV per atom
SG: No. 62
N(E_F): 17.50 states/eV per cell

a b c (Å): 10.002 4.979 7.081
angles (deg): 90.00 90.00 90.00
Atoms (fractional coordinates):
Pm (0.132, 0.250, 0.002)
Pm (0.368, 0.750, 0.502)
Pm (0.632, 0.250, 0.498)
Pm (0.868, 0.750, 0.998)
Ho (0.119, 0.250, 0.503)
Ho (0.381, 0.750, 0.003)
Ho (0.619, 0.250, 0.997)
Ho (0.881, 0.750, 0.497)
Zn (0.124, 0.750, 0.253)
Zn (0.376, 0.250, 0.753)
Zn (0.624, 0.750, 0.247)
Zn (0.876, 0.250, 0.747)



# 2
A geometry-optimized SrNpSb2 structure. Source: Alexandria via LeMat-Bulk, functional GGA-PBE.

Formation energy without anion corrections: -0.438 eV/atom
E: -24.62 eV for the cell shown
Magnetic moment: 4.37 μB/f.u.
Relative energy among the computed polymorphs: 45 kJ/mol of formula units
SG: No. 123
N(E_F): 11.00 states/eV per cell

a b c (Å): 5.900 5.900 3.340
angles (deg): 90.00 90.00 90.00
Atoms (fractional coordinates):
Sr (0.000, 0.000, 0.000)
Np (0.500, 0.500, 0.000)
Sb (0.000, 0.500, 0.500)
Sb (0.500, 0.000, 0.500)